Crystalline MgCdIn2 at its relaxed geometry. Source: the Alexandria database, functional PBE.

ΔE_f: 0.0073 eV/atom
SG: C2/m, No. 12
Mass density: 6.105 g cm⁻³
Total moment: 0.00 Bohr magnetons per cell

Lattice parameters (Å, degrees): 6.0306 6.0306 3.3198 102.15 102.15 115.94
Closest atoms and distances in Å follow each position.
Positions (direct):
Mg 0.0000 0.0000 0.0000  4 In 3.12, 2 Cd 3.20, 2 Mg 3.32
Cd 0.5000 0.5000 0.0000  4 In 3.12, 2 Mg 3.20, 2 Cd 3.32
In 0.0000 0.5000 0.5000  2 Cd 3.12, 2 Mg 3.12, 4 In 3.20-3.32
In 0.5000 0.0000 0.5000  2 Cd 3.12, 2 Mg 3.12, 4 In 3.20-3.32